Record 1
# Nd5Sm2Tm4 PBE optimized geometry
# * energy of formation from the pure elements: 175 meV/atom
# * energy above the lowest structure with this stoichiometry: 0.35 eV/f.u.
data_Nd5Sm2Tm4
_chemical_formula_sum 'Nd5 Sm2 Tm4'
_cell_length_a 12.744
_cell_length_b 12.744
_cell_length_c 12.744
_cell_angle_alpha 164.06
_cell_angle_beta 137.98
_cell_angle_gamma 45.22
_space_group_name_H-M_alt 'P 1'
_space_group_IT_number 1
_space_group_name_Hall 'P 1'
loop_
_atom_site_label
_atom_site_fract_x
_atom_site_fract_y
_atom_site_fract_z
Nd1 0.000 0.000 0.000
Nd2 0.056 0.356 0.700
Nd3 0.344 0.644 0.700
Nd4 0.656 0.356 0.300
Nd5 0.944 0.644 0.300
Sm1 0.269 0.769 0.500
Sm2 0.731 0.231 0.500
Tm1 0.317 0.500 0.817
Tm2 0.404 0.904 0.500
Tm3 0.596 0.096 0.500
Tm4 0.683 0.500 0.183

Record 2
# BaAl2BO6 PBE optimized geometry
# * energy: -143.805 eV per cell
data_BaAl2BO6
_chemical_formula_sum 'Ba2 Al4 B2 O12'
_cell_length_a 7.274
_cell_length_b 7.274
_cell_length_c 6.251
_cell_angle_alpha 112.57
_cell_angle_beta 112.57
_cell_angle_gamma 84.86
_space_group_name_H-M_alt 'P 1'
_space_group_IT_number 1
_space_group_name_Hall 'P 1'
loop_
_atom_site_label
_atom_site_fract_x
_atom_site_fract_y
_atom_site_fract_z
Ba1 0.158 0.842 0.750
Ba2 0.842 0.158 0.250
Al1 0.221 0.372 0.893
Al2 0.372 0.221 0.393
Al3 0.628 0.779 0.607
Al4 0.779 0.628 0.107
B1 0.208 0.792 0.250
B2 0.792 0.208 0.750
O1 0.011 0.774 0.265
O2 0.206 0.631 0.022
O3 0.226 0.989 0.235
O4 0.270 0.347 0.623
O5 0.347 0.270 0.123
O6 0.369 0.794 0.478
O7 0.631 0.206 0.522
O8 0.653 0.730 0.877
O9 0.730 0.653 0.377
O10 0.774 0.011 0.765
O11 0.794 0.369 0.978
O12 0.989 0.226 0.735

Record 3
# Ac4SiP2S PBE optimized geometry
# * energy: -47.867 eV per cell
data_Ac4SiP2S
_chemical_formula_sum 'Ac4 Si1 P2 S1'
_cell_length_a 7.712
_cell_length_b 4.442
_cell_length_c 7.738
_cell_angle_alpha 90.00
_cell_angle_beta 109.35
_cell_angle_gamma 90.00
_space_group_name_H-M_alt 'P 1'
_space_group_IT_number 1
_space_group_name_Hall 'P 1'
loop_
_atom_site_label
_atom_site_fract_x
_atom_site_fract_y
_atom_site_fract_z
Ac1 0.245 0.000 0.244
Ac2 0.252 0.500 0.754
Ac3 0.748 0.500 0.246
Ac4 0.755 0.000 0.756
Si1 0.000 0.000 0.500
P1 0.000 0.500 0.000
P2 0.500 0.000 0.000
S1 0.500 0.500 0.500

Record 4
# PuPa3S4 PBE optimized geometry
# * energy: -144.967 eV per cell
data_PuPa3S4
_chemical_formula_sum 'Pu2 Pa6 S8'
_cell_length_a 6.813
_cell_length_b 7.788
_cell_length_c 6.709
_cell_angle_alpha 90.00
_cell_angle_beta 109.30
_cell_angle_gamma 90.00
_space_group_name_H-M_alt 'P 1'
_space_group_IT_number 1
_space_group_name_Hall 'P 1'
loop_
_atom_site_label
_atom_site_fract_x
_atom_site_fract_y
_atom_site_fract_z
Pu1 0.000 0.127 0.250
Pu2 0.000 0.873 0.750
Pa1 0.000 0.376 0.750
Pa2 0.000 0.624 0.250
Pa3 0.500 0.127 0.750
Pa4 0.500 0.376 0.250
Pa5 0.500 0.624 0.750
Pa6 0.500 0.873 0.250
S1 0.248 0.123 0.000
S2 0.248 0.374 0.499
S3 0.248 0.626 0.999
S4 0.248 0.877 0.500
S5 0.752 0.123 0.500
S6 0.752 0.374 0.001
S7 0.752 0.626 0.501
S8 0.752 0.877 0.000

Record 5
# La5SmPd2 PBE optimized geometry
# * energy of formation from the pure elements: -333 meV/atom
data_La5SmPd2
_chemical_formula_sum 'La10 Sm2 Pd4'
_cell_length_a 6.721
_cell_length_b 6.721
_cell_length_c 19.160
_cell_angle_alpha 90.00
_cell_angle_beta 90.00
_cell_angle_gamma 145.14
_space_group_name_H-M_alt 'P 1'
_space_group_IT_number 1
_space_group_name_Hall 'P 1'
loop_
_atom_site_label
_atom_site_fract_x
_atom_site_fract_y
_atom_site_fract_z
La1 0.066 0.934 0.618
La2 0.066 0.934 0.882
La3 0.356 0.644 0.250
La4 0.358 0.642 0.537
La5 0.358 0.642 0.963
La6 0.642 0.358 0.037
La7 0.642 0.358 0.463
La8 0.644 0.356 0.750
La9 0.934 0.066 0.118
La10 0.934 0.066 0.382
Sm1 0.374 0.626 0.750
Sm2 0.626 0.374 0.250
Pd1 0.215 0.785 0.133
Pd2 0.215 0.785 0.367
Pd3 0.785 0.215 0.633
Pd4 0.785 0.215 0.867

Record 6
# LiCuAg PBE optimized geometry
# * energy of formation from the pure elements: -46 meV/atom
# * energy above the lowest structure with this stoichiometry: 0.10 eV/f.u.
data_LiCuAg
_chemical_formula_sum 'Li1 Cu1 Ag1'
_cell_length_a 4.314
_cell_length_b 4.314
_cell_length_c 2.722
_cell_angle_alpha 90.00
_cell_angle_beta 90.00
_cell_angle_gamma 120.00
_space_group_name_H-M_alt 'P 1'
_space_group_IT_number 1
_space_group_name_Hall 'P 1'
loop_
_atom_site_label
_atom_site_fract_x
_atom_site_fract_y
_atom_site_fract_z
Li1 0.000 0.000 0.000
Cu1 0.333 0.667 0.770
Ag1 0.667 0.333 0.353